Entry from the Alexandria database: a relaxed CuPt3O8 crystal (PBE-GGA).

Results
Its space group is C2/m (12). The calculation puts the energy relative to the elements, uncorrected at -388 meV/atom.

Structure (POSCAR):
```
CuPt3O8
1.0
5.065 -3.126 0.000
5.065 3.126 0.000
-3.226 0.000 5.091
Cu Pt O
1 3 8
Cartesian
0.000 0.000 0.000
0.920 1.563 2.546
0.920 -1.563 2.546
5.065 0.000 0.000
1.489 0.000 1.384
2.407 1.559 3.924
0.308 0.000 3.725
4.497 1.559 1.167
2.407 -1.559 3.924
6.596 0.000 1.366
4.497 -1.559 1.167
5.416 0.000 3.707
```

Entry from the Alexandria database: a relaxed K2BaBiCl8 crystal (PBE-GGA).

Results
Its space group is P2/m (10). The calculation puts the energy relative to the elements, uncorrected at -1546 meV/atom.

Structure (POSCAR):
```
K2BaBiCl8
1.0
5.831 0.000 0.000
0.000 9.500 0.000
-1.364 0.000 7.249
K Ba Bi Cl
2 1 1 8
Cartesian
0.000 2.307 0.000
0.000 7.193 0.000
2.233 4.750 3.624
2.233 0.000 3.624
-0.319 4.750 1.894
0.069 0.000 2.118
1.491 2.035 5.252
1.491 7.465 5.252
2.976 2.035 1.996
2.976 7.465 1.996
4.398 0.000 5.130
4.786 4.750 5.355
```

Entry from the Alexandria database: a relaxed LiFeH crystal (PBE-GGA).

Results
Its space group is I4_1/a (88).

Structure (POSCAR):
```
LiFeH
1.0
-6.285 6.285 3.126
6.285 -6.285 3.126
6.285 6.285 -3.126
Li Fe H
16 16 16
Cartesian
5.956 1.255 -0.520
8.172 2.813 -1.043
4.398 3.471 -1.043
0.252 1.314 0.243
6.614 5.029 -0.520
-0.252 4.971 0.243
-1.829 2.890 1.320
1.829 3.394 1.320
4.456 2.890 1.806
8.113 3.394 1.806
6.537 1.314 2.883
-0.329 1.255 3.645
6.033 4.971 2.883
1.887 2.813 4.169
-1.887 3.471 4.169
0.329 5.029 3.645
2.349 -1.043 0.552
3.005 1.304 -0.211
8.384 0.793 1.010
4.446 0.137 1.351
4.446 6.422 -1.351
2.349 5.241 -0.552
3.280 -1.304 2.914
2.099 0.793 2.115
4.186 5.491 1.010
3.005 7.588 0.211
3.936 1.043 3.678
1.839 -0.137 4.477
1.839 6.147 1.774
-2.099 5.491 2.115
3.280 4.981 3.337
3.936 7.328 2.573
4.774 4.932 -2.063
1.008 -0.220 1.214
4.495 1.632 0.500
4.774 -1.352 2.063
9.207 2.135 0.349
7.292 -0.220 1.912
3.362 4.150 0.349
1.790 -1.632 3.626
4.495 7.916 -0.500
2.922 2.135 2.777
-1.008 6.505 1.214
-2.922 4.150 2.777
1.511 7.637 1.063
1.790 4.653 2.626
5.277 6.505 1.912
1.511 1.352 5.189
```

Entry from the Alexandria database: a relaxed MgTc2Os crystal (PBE-GGA).

Results
Its space group is C2/m (12).

Structure (POSCAR):
```
MgTc2Os
1.0
2.625 -4.327 0.000
2.625 4.327 0.000
-0.700 0.000 2.628
Mg Tc Os
1 2 1
Cartesian
0.000 0.000 0.000
0.963 2.164 1.314
0.963 -2.164 1.314
2.625 0.000 0.000
```

Entry from the Alexandria database: a relaxed KLiBi2S4 crystal (PBE-GGA).

Results
Its space group is Cmcm (63). The calculation puts the energy relative to the elements, uncorrected at -765 meV/atom.

Structure (POSCAR):
```
KLiBi2S4
1.0
2.053 -6.920 0.000
2.053 6.920 0.000
0.000 0.000 14.310
K Li Bi S
2 2 4 8
Cartesian
2.053 5.460 10.733
2.053 -5.460 3.578
2.053 4.697 3.578
2.053 -4.697 10.733
2.053 1.853 8.043
2.053 1.853 13.422
2.053 -1.853 0.888
2.053 -1.853 6.267
0.000 0.000 0.000
0.000 0.000 7.155
2.053 3.285 1.592
2.053 3.285 5.563
2.053 0.989 10.733
2.053 -0.989 3.578
2.053 -3.285 8.747
2.053 -3.285 12.719
```

Entry from the Alexandria database: a relaxed Tb4InHg crystal (PBE-GGA).

Results
Its space group is P4/mmm (123). Its offset from the most stable computed form is 118 kJ/mol of formula units.

Structure (POSCAR):
```
Tb4InHg
1.0
5.129 0.000 0.000
0.000 5.129 0.000
0.000 0.000 7.377
Tb In Hg
4 1 1
Cartesian
0.000 2.565 1.791
0.000 2.565 5.586
2.565 0.000 1.791
2.565 0.000 5.586
0.000 0.000 3.689
2.565 2.565 0.000
```

Entry from the Alexandria database: a relaxed Hf8Sb2Mo crystal (PBE-GGA).

Results
Its space group is C2/m (12). The calculation puts the energy relative to the elements, uncorrected at -163 meV/atom.

Structure (POSCAR):
```
Hf8Sb2Mo
1.0
8.305 -2.100 0.000
8.305 2.100 0.000
-2.504 0.000 6.894
Hf Sb Mo
8 2 1
Cartesian
-0.147 0.000 2.026
0.809 0.000 5.099
4.025 0.000 3.929
6.839 0.000 0.340
7.268 0.000 6.555
10.082 0.000 2.966
13.298 0.000 1.796
14.254 0.000 4.868
2.879 0.000 1.176
11.228 0.000 5.718
7.053 0.000 3.447
```

Entry from the Alexandria database: a relaxed KSrTa2Hg crystal (PBE-GGA).

Results
Its space group is P4/mmm (123).

Structure (POSCAR):
```
KSrTa2Hg
1.0
5.262 0.000 0.000
0.000 5.262 0.000
0.000 0.000 6.093
K Sr Ta Hg
1 1 2 1
Cartesian
0.000 0.000 0.000
2.631 2.631 3.046
0.000 2.631 3.046
2.631 0.000 3.046
2.631 2.631 0.000
```

Entry from the Alexandria database: a relaxed BaAgAsBr2 crystal (PBE-GGA).

Results
Its space group is P4/mmm (123). The calculation puts the energy relative to the elements, uncorrected at -657 meV/atom. Its offset from the most stable computed form is 0 kJ/mol of formula units.

Structure (POSCAR):
```
BaAgAsBr2
1.0
5.486 0.000 0.000
0.000 5.486 0.000
0.000 0.000 5.186
Ba Ag As Br
1 1 1 2
Cartesian
0.000 0.000 0.000
2.743 2.743 2.593
2.743 2.743 0.000
0.000 2.743 2.593
2.743 0.000 2.593
```

Entry from the Alexandria database: a relaxed Rb2ScSbS4 crystal (PBE-GGA).

Results
Its space group is Imma (74). The calculation puts the energy relative to the elements, uncorrected at -1121 meV/atom.

Structure (POSCAR):
```
Rb2ScSbS4
1.0
-4.117 4.283 5.932
4.117 -4.283 5.932
4.117 4.283 -5.932
Rb Sc Sb S
4 2 2 8
Cartesian
0.000 0.000 0.000
-2.059 2.142 2.966
0.000 4.283 0.000
2.059 2.142 2.966
2.059 2.142 -2.966
2.059 -2.142 2.966
4.117 0.000 0.000
0.000 0.000 5.932
4.117 -0.405 2.788
4.117 3.878 -2.788
2.300 2.142 -0.313
5.934 2.142 -0.313
-1.817 2.142 6.245
1.817 2.142 6.245
0.000 0.405 8.720
0.000 4.688 3.144
```

These records have final energy values of -5.55 -3.44 -4.54 -8.11 -4.18 -3.69 -9.14 -3.14 -3.21 -4.73 eV per atom, in the order they appear.
These records have total moment values of 1.792 0.272 34.085 0.000 0.000 0.000 0.000 1.497 1.262 0.000 μB per cell, in the order they appear.
These records have theoretical density values of 8.001 2.929 3.432 11.420 4.837 8.137 12.202 6.783 5.106 3.698 Mg/m³, in the order they appear.